# 1
Sb2Pb2Au: optimized geometry, GGA-PBE.

Geometry as extended XYZ:
```
10
Lattice="7.931 0.000 0.000 0.000 7.931 0.000 0.000 0.000 4.943" Properties=species:S:1:pos:R:3 pbc="T T T"
Sb 1.005 2.960 0.000
Sb 2.960 6.925 0.000
Sb 4.971 1.005 0.000
Sb 6.925 4.971 0.000
Pb 1.403 5.369 2.472
Pb 2.562 1.403 2.472
Pb 5.369 6.527 2.472
Pb 6.527 2.562 2.472
Au 0.000 0.000 2.472
Au 3.965 3.965 2.472
```

Summary:
E above lowest polymorph	160	meV per atom
space group	P4/mbm
formation energy from raw total energies	0.1805	eV/atom

***

# 2
LiTa2Pb: optimized geometry, GGA-PBE.

Geometry as extended XYZ:
```
16
Lattice="7.558 0.000 0.000 0.000 7.558 0.000 0.000 0.000 5.476" Properties=species:S:1:pos:R:3 pbc="T T T"
Li 0.000 0.000 0.000
Li 0.000 3.779 1.369
Li 3.779 0.000 4.107
Li 3.779 3.779 2.738
Ta 1.763 1.889 0.684
Ta 1.889 5.542 2.053
Ta 1.889 5.794 4.791
Ta 2.016 1.889 3.422
Ta 5.542 5.668 3.422
Ta 5.668 1.763 4.791
Ta 5.668 2.016 2.053
Ta 5.794 5.668 0.684
Pb 0.000 0.000 2.738
Pb 0.000 3.779 4.107
Pb 3.779 0.000 1.369
Pb 3.779 3.779 0.000
```

Summary:
space group	I-42d
calculated formation energy	0.8842	eV per atom

***

# 3
Mg4Ni3Rh: optimized geometry, GGA-PBE.

Geometry as extended XYZ:
```
8
Lattice="2.166 1.250 7.074 -2.166 1.250 7.074 0.000 -2.501 7.074" Properties=species:S:1:pos:R:3 pbc="T T T"
Mg 0.000 0.000 2.638
Mg 0.000 0.000 7.945
Mg 0.000 0.000 13.277
Mg 0.000 0.000 18.584
Ni 0.000 0.000 0.000
Ni 0.000 0.000 5.318
Ni 0.000 0.000 15.904
Rh 0.000 0.000 10.611
```

Summary:
space group	R-3m
calculated formation energy	-0.2562	eV per atom

***

# 4
MgPtOF2: optimized geometry, GGA-PBE.

Geometry as extended XYZ:
```
5
Lattice="3.671 0.000 0.000 0.000 3.671 0.000 0.000 0.000 4.515" Properties=species:S:1:pos:R:3 pbc="T T T"
Mg 0.000 0.000 0.000
Pt 1.836 1.836 2.257
O 0.000 0.000 2.257
F 0.000 1.836 0.000
F 1.836 0.000 0.000
```

Summary:
E above lowest polymorph	0	meV per atom
space group	P4/mmm
formation energy from raw total energies	-1.3088	eV/atom

***

Number 1: V 31.1 A^3/atom, size of the total moment 0.0 μB/f.u.. Number 2: V 19.5 A^3/atom, size of the total moment 0.0 μB/f.u.. Number 3: V 14.4 A^3/atom, size of the total moment 0.0 μB/f.u.. Number 4: V 12.2 A^3/atom, size of the total moment 0.9 μB/f.u..